NaErAlTl | PBE | relaxed

Cell lengths 7.3336, 7.3336, 7.3336 Å; angles 90.00, 90.00, 90.00 degrees
Closest atoms and distances in Å follow each position.
Space group F-43m (No. 216)
Unique sites:
Na  0.0000  0.0000  0.0000 [4 per cell]  4 Tl 3.18, 4 Al 3.18
Er  0.0000  0.0000  0.5000 [4 per cell]  4 Tl 3.18, 4 Al 3.18
Al  0.2500  0.2500  0.7500 [4 per cell]  4 Na 3.18, 4 Er 3.18
Tl  0.2500  0.2500  0.2500 [4 per cell]  4 Na 3.18, 4 Er 3.18

Calculated values
volume	394.42	Å³ per cell
DFT formation energy	-0.101	eV per atom
spin magnetization	0.00	μB per formula unit

NaYErAl | PBE | relaxed

Cell lengths 7.4527, 7.4527, 7.4527 Å; angles 90.00, 90.00, 90.00 degrees
Closest atoms and distances in Å follow each position.
Space group F-43m (No. 216)
Unique sites:
Na  0.0000  0.0000  0.0000 [4 per cell]  4 Y 3.23, 4 Er 3.23
Y  0.2500  0.2500  0.7500 [4 per cell]  4 Na 3.23, 4 Al 3.23
Er  0.2500  0.2500  0.2500 [4 per cell]  4 Na 3.23, 4 Al 3.23
Al  0.0000  0.0000  0.5000 [4 per cell]  4 Er 3.23, 4 Y 3.23

Calculated values
volume	413.95	Å³ per cell
DFT formation energy	-0.044	eV per atom
spin magnetization	0.00	μB per formula unit

ErNbAl | PBE | relaxed

Cell lengths 7.0750, 7.0750, 4.5776 Å; angles 90.00, 90.00, 120.00 degrees
Closest atoms and distances in Å follow each position.
Space group P-62m (No. 189)
Unique sites:
Er  0.0000  0.4254  0.0000 [3 per cell]  5 Al 3.01-3.11
Nb  0.0000  0.7818  0.5000 [3 per cell]  2 Nb 2.67, 4 Al 2.76-2.85
Al  0.0000  0.0000  0.0000 [1 per cell]  6 Nb 2.76, 3 Er 3.01
Al  0.3333  0.6667  0.5000 [2 per cell]  3 Nb 2.85, 6 Er 3.11

Calculated values
volume	198.44	Å³ per cell
DFT formation energy	-0.157	eV per atom
E above lowest polymorph	0.0	kJ/mol of formula units
spin magnetization	0.00	μB per formula unit

Er6Nb4Al43 | PBE | relaxed

Cell lengths 11.1108, 11.1108, 17.7405 Å; angles 90.00, 90.00, 120.00 degrees
Closest atoms and distances in Å follow each position.
Space group P6_3/mcm (No. 193)
Unique sites:
Er  0.0000  0.4702  0.0963 [12 per cell]  14 Al 3.05-3.42
Nb  0.0000  0.0000  0.0000 [2 per cell]  12 Al 2.70-2.90
Nb  0.0000  0.2737  0.2500 [6 per cell]  10 Al 2.64-2.76
Al  0.0000  0.1484  0.7500 [6 per cell]  2 Nb 2.64, 10 Al 2.86-2.94
Al  0.0000  0.1589  0.1152 [12 per cell]  2 Nb 2.70-2.71, 7 Al 2.76-2.94
Al  0.0000  0.2566  0.5291 [12 per cell]  9 Al 2.74-3.03, 1 Nb 2.90
Al  0.1494  0.5552  0.2500 [12 per cell]  1 Nb 2.71, 7 Al 2.74-2.87
Al  0.1583  0.3953  0.6624 [24 per cell]  7 Al 2.73-3.05, 1 Nb 2.76, 1 Er 3.05
Al  0.2469  0.4939  0.0000 [12 per cell]  8 Al 2.74-3.06
Al  0.3333  0.6667  0.1249 [8 per cell]  9 Al 2.73-2.85

Calculated values
volume	1896.64	Å³ per cell
DFT formation energy	-0.332	eV per atom
spin magnetization	0.00	μB per formula unit

ErNbAl2 | PBE | relaxed

Cell lengths 3.5263, 3.5263, 6.3168 Å; angles 90.00, 90.00, 90.00 degrees
Closest atoms and distances in Å follow each position.
Space group P4/mmm (No. 123)
Unique sites:
Er  0.0000  0.0000  0.0000 [1 per cell]  8 Al 3.11, 2 Nb 3.16
Nb  0.0000  0.0000  0.5000 [1 per cell]  8 Al 2.81
Al  0.5000  0.5000  0.2936 [2 per cell]  1 Al 2.61, 4 Nb 2.81

Calculated values
volume	78.55	Å³ per cell
DFT formation energy	-0.265	eV per atom
E above lowest polymorph	0.0	kJ/mol of formula units
spin magnetization	0.00	μB per formula unit

ErNbAl2 | PBE | relaxed

Cell lengths 3.0750, 3.0750, 29.4746 Å; angles 90.00, 90.00, 120.00 degrees
Closest atoms and distances in Å follow each position.
Space group R-3m (No. 166, hexagonal axes)
Unique sites:
Er  0.0000  0.0000  0.0000 [3 per cell]  6 Er 3.08, 6 Al 3.20
Nb  0.0000  0.0000  0.5000 [3 per cell]  6 Al 2.86, 6 Nb 3.08
Al  0.0000  0.0000  0.2429 [6 per cell]  3 Nb 2.86, 6 Al 3.08, 3 Er 3.20

Calculated values
volume	241.36	Å³ per cell
DFT formation energy	-0.027	eV per atom
E above lowest polymorph	91.8	kJ/mol of formula units
spin magnetization	0.00	μB per formula unit